a:
This record from Alexandria describes an optimized crystal structure of NaLiMg2H. The functional is GGA-PBE.

Computed properties:
Total magnetization: 0.00 μB per atom
ρ: 1.374 Mg/m³

Lattice parameters (Å, degrees): 4.6876 4.6876 4.3737 90.00 90.00 90.00
Space group P4/mmm (No. 123)
Inequivalent atoms, fractional coordinates:
Na: 0.0000 0.0000 0.0000
Li: 0.5000 0.5000 0.0000
Mg: 0.0000 0.5000 0.5000
H: 0.5000 0.5000 0.5000

b:
This record from Alexandria describes an optimized crystal structure of NaLiMg2H. The functional is GGA-PBE.

Computed properties:
Total magnetization: 0.00 μB per atom
ρ: 1.381 Mg/m³

Lattice parameters (Å, degrees): 4.4990 4.4990 4.7245 90.00 90.00 90.00
Space group P4/mmm (No. 123)
Inequivalent atoms, fractional coordinates:
Na: 0.0000 0.0000 0.0000
Li: 0.5000 0.5000 0.0000
Mg: 0.0000 0.5000 0.5000
H: 0.0000 0.0000 0.5000

Least stable structure: a